A plane-wave DFT calculation with meta-GGA SCAN was carried out for SrRe4Te at its PBEsol-relaxed geometry.

## Properties
Crystal system = cubic
SG = No. 216
Volume = 18.42 Å³/atom
VASP energy = -339.64 eV/cell
Raw formation energy = 0.713 eV/atom

a = 5.387 Å, b = 5.387 Å, c = 5.387 Å
α = 60.00°, β = 60.00°, γ = 60.00°
Atoms (fractional coordinates):
1 Te 0.000 0.000 0.000
2 Re 0.374 0.374 0.878
3 Re 0.878 0.374 0.374
4 Re 0.374 0.374 0.374
5 Re 0.374 0.878 0.374
6 Sr 0.750 0.750 0.750


A plane-wave DFT calculation with meta-GGA SCAN was carried out for Sr3TiRe at its PBEsol-relaxed geometry.

## Properties
Crystal system = cubic
SG = No. 221
Energy of formation = 1.231 eV/atom
Volume = 36.53 Å³/atom
VASP energy = -147.80 eV/cell

a = 5.674 Å, b = 5.674 Å, c = 5.674 Å
α = 90.00°, β = 90.00°, γ = 90.00°
Site moments in Bohr magnetons follow the coordinates.
Atoms (fractional coordinates):
1 Sr 0.000 0.500 0.000  0.05
2 Sr 0.000 0.000 0.500  0.05
3 Sr 0.500 0.000 0.000  0.05
4 Re 0.000 0.000 0.000  1.18
5 Ti 0.500 0.500 0.500  2.08


A plane-wave DFT calculation with meta-GGA SCAN was carried out for SrY2Re at its PBEsol-relaxed geometry.

## Properties
Crystal system = cubic
SG = No. 225
Energy of formation = 0.506 eV/atom
Volume = 24.15 Å³/atom
VASP energy = -147.03 eV/cell

a = 5.151 Å, b = 5.151 Å, c = 5.151 Å
α = 60.00°, β = 60.00°, γ = 60.00°
Atoms (fractional coordinates):
1 Y 0.750 0.750 0.750
2 Y 0.250 0.250 0.250
3 Re 0.000 0.000 0.000
4 Sr 0.500 0.500 0.500


A plane-wave DFT calculation with meta-GGA SCAN was carried out for SrYRe3 at its PBEsol-relaxed geometry.

## Properties
Crystal system = cubic
SG = No. 221
Energy of formation = 2.556 eV/atom
Volume = 23.23 Å³/atom
VASP energy = -250.63 eV/cell

a = 4.879 Å, b = 4.879 Å, c = 4.879 Å
α = 90.00°, β = 90.00°, γ = 90.00°
Site moments in Bohr magnetons follow the coordinates.
Atoms (fractional coordinates):
1 Re 0.500 0.000 0.000  0.65
2 Re 0.000 0.500 0.000  0.65
3 Re 0.000 0.000 0.500  0.65
4 Sr 0.500 0.500 0.500  0.03
5 Y 0.000 0.000 0.000  -0.02


A plane-wave DFT calculation with meta-GGA SCAN was carried out for Sr2YRe at its PBEsol-relaxed geometry.

## Properties
Crystal system = tetragonal
SG = No. 119
Energy of formation = 0.835 eV/atom
Volume = 26.17 Å³/atom
VASP energy = -140.15 eV/cell

a = 5.280 Å, b = 5.295 Å, c = 5.280 Å
α = 60.10°, β = 90.00°, γ = 119.90°
Atoms (fractional coordinates):
1 Y 0.500 0.000 0.500
2 Re 0.750 0.500 0.750
3 Sr 0.000 0.000 0.000
4 Sr 0.250 0.500 0.250


A plane-wave DFT calculation with meta-GGA SCAN was carried out for Sr2YRe at its PBEsol-relaxed geometry.

## Properties
Crystal system = tetragonal
SG = No. 99
Energy of formation = 0.510 eV/atom
Volume = 31.58 Å³/atom
VASP energy = -141.45 eV/cell

a = 3.661 Å, b = 3.661 Å, c = 9.423 Å
α = 90.00°, β = 90.00°, γ = 90.00°
Site moments in Bohr magnetons follow the coordinates.
Atoms (fractional coordinates):
1 Sr 0.000 0.000 0.076  0.02
2 Sr 0.500 0.500 0.709  0.03
3 Y 0.000 0.000 0.423  0.06
4 Re 0.500 0.500 0.292  0.13


> Number 5 is which compound?

Sr2YRe